Entry from Alexandria: an optimized crystal structure of TbThOs2 (GGA-PBE).

Lattice parameters (Å, degrees): 3.506 4.941 4.941 90.00 90.00 90.00
Fractional coordinates of all 4 atoms:
Th: 0.500 0.000 0.000
Os: 0.000 0.000 0.500
Os: 0.000 0.500 0.000
Tb: 0.500 0.500 0.500

Calculated values
Energy above the lowest structure with this stoichiometry: 0.0 meV per atom
Calculated volume: 21.4 Å³/atom
ΔH_f (0 K): -0.14 eV per atom
Total magnetic moment: 0.000 Bohr magnetons per cell


Entry from Alexandria: an optimized crystal structure of Tb2Th3Os2 (GGA-PBE).

Lattice parameters (Å, degrees): 3.965 6.361 8.562 72.34 76.61 71.84
Fractional coordinates of all 7 atoms:
Tb: 0.832 0.523 0.813
Tb: 0.168 0.477 0.187
Os: 0.829 0.099 0.243
Os: 0.171 0.901 0.757
Th: 0.385 0.798 0.432
Th: 0.615 0.202 0.568
Th: 0.500 0.000 0.000

Calculated values
Calculated volume: 27.6 Å³/atom
ΔH_f (0 K): -0.24 eV per atom
Total magnetic moment: 0.000 Bohr magnetons per cell


Entry from Alexandria: an optimized crystal structure of TbThOs (GGA-PBE).

Lattice parameters (Å, degrees): 4.474 5.466 7.794 116.41 90.00 90.00
Fractional coordinates of all 6 atoms:
Os: 0.750 0.108 0.796
Os: 0.250 0.892 0.204
Tb: 0.750 0.186 0.438
Tb: 0.250 0.814 0.562
Th: 0.250 0.295 0.063
Th: 0.750 0.705 0.937

Calculated values
Energy above the lowest structure with this stoichiometry: 0.0 meV per atom
Calculated volume: 28.4 Å³/atom
ΔH_f (0 K): -0.24 eV per atom
Total magnetic moment: 0.000 Bohr magnetons per cell


Entry from Alexandria: an optimized crystal structure of Tb2ThOs (GGA-PBE).

Lattice parameters (Å, degrees): 3.390 3.390 11.208 81.30 81.30 60.00
Fractional coordinates of all 4 atoms:
Th: 0.000 0.000 0.000
Os: 0.500 0.500 0.500
Tb: 0.896 0.896 0.313
Tb: 0.104 0.104 0.687

Calculated values
Energy above the lowest structure with this stoichiometry: 561.0 meV per atom
Calculated volume: 27.5 Å³/atom
ΔH_f (0 K): 0.30 eV per atom
Total magnetic moment: 0.001 Bohr magnetons per cell


Number 1: electronic total energy -8.770 eV/atom. Number 2: electronic total energy -7.956 eV/atom. Number 3: electronic total energy -7.999 eV/atom. Number 4: electronic total energy -6.673 eV/atom.